Tm2PuAg3S6: optimized geometry, PBE.

Values from the calculation:
density of states at the Fermi level = 0.864 states/eV/atom
uncorrected formation energy = -1186 meV per atom
energy = -141.6 eV per cell

abc: 17.0685 4.0052 7.5805
angles: 90.00 99.48 90.00
With the nearest neighbours (Å) after each atom.
Space group C2/m (No. 12)
Symmetry-distinct sites (fractional):
Tm1 0.1677 0.0000 0.3402 [4 per cell]  6 S 2.70-2.73
Pu1 0.0000 0.5000 0.0000 [2 per cell]  6 S 2.76-2.80
Ag1 0.0000 0.5000 0.5000 [2 per cell]  6 S 2.76-2.90
Ag2 0.1589 0.0000 0.8488 [4 per cell]  6 S 2.73-2.95
S1 0.0060 0.0000 0.2523 [4 per cell]  1 Tm 2.73, 3 Ag 2.76-2.79, 2 Pu 2.76
S2 0.1656 0.5000 0.0965 [4 per cell]  2 Tm 2.72, 3 Ag 2.73-2.95, 1 Pu 2.80
S3 0.1719 0.5000 0.5852 [4 per cell]  3 Tm 2.70-2.72, 3 Ag 2.86-2.90

PbW2Au: optimized geometry, PBE.

Values from the calculation:
density of states at the Fermi level = 0.821 states/eV/atom
energy of formation = 0.8771 eV/atom
energy = -58.8 eV per cell

abc: 4.2042 4.2042 8.2702
angles: 90.00 90.00 90.00
With the nearest neighbours (Å) after each atom.
Space group I-4m2 (No. 119)
Symmetry-distinct sites (fractional):
Pb1 0.0000 0.0000 0.0000 [2 per cell]  8 W 2.95-2.97, 4 Au 2.95
W1 0.0000 0.0000 0.5000 [2 per cell]  4 W 2.95, 4 Au 2.95, 4 Pb 2.97
W2 0.0000 0.5000 0.7500 [2 per cell]  4 W 2.95, 4 Pb 2.95, 4 Au 2.97
Au1 0.0000 0.5000 0.2500 [2 per cell]  4 Pb 2.95, 8 W 2.95-2.97

ZnSn2H12O6F6: optimized geometry, PBE.

Values from the calculation:
density of states at the Fermi level = 0.000 states/eV/atom
polymorph energy (0 for the lowest one) = 0.4013 eV/atom
energy = -119.8 eV per cell

abc: 6.6508 7.2379 7.4883
angles: 110.93 93.02 102.18
With the nearest neighbours (Å) after each atom.
Space group P-1 (No. 2)
Symmetry-distinct sites (fractional):
Zn1 0.0000 0.0000 0.0000 [1 per cell]  4 O 2.03-2.14, 2 F 2.17
Sn1 0.3489 0.6935 0.3778 [2 per cell]  1 H 1.95, 2 F 2.15-2.17
H1 0.0970 0.3058 0.8892 [2 per cell]  1 O 1.00
H2 0.1223 0.5775 0.7328 [2 per cell]  1 O 1.01
H3 0.2323 0.0369 0.3700 [2 per cell]  1 F 1.07, 1 H 1.12
H4 0.3086 0.2449 0.9309 [2 per cell]  1 O 1.00
H5 0.3101 0.9706 0.4598 [2 per cell]  1 H 1.12
H6 0.3344 0.8178 0.9968 [2 per cell]  1 O 1.02
O1 0.1708 0.2547 0.9742 [2 per cell]  2 H 1.00
O2 0.2297 0.6925 0.7207 [2 per cell]  1 H 1.01
O3 0.2493 0.8597 0.9071 [2 per cell]  1 H 1.02
F1 0.0301 0.6144 0.2513 [2 per cell]  2 H 1.58-1.64
F2 0.1686 0.1128 0.2898 [2 per cell]  1 H 1.07
F3 0.4517 0.7458 0.1253 [2 per cell]  2 H 1.50-1.66

In2CuAu: optimized geometry, PBE.

Values from the calculation:
density of states at the Fermi level = 0.318 states/eV/atom
energy of formation = 0.0566 eV/atom
energy = -37.9 eV per cell

abc: 3.6002 3.6002 23.3908
angles: 90.00 90.00 120.00
With the nearest neighbours (Å) after each atom.
Space group R3m (No. 160, hexagonal axes)
Symmetry-distinct sites (fractional):
In1 0.0000 0.0000 0.0000 [3 per cell]  3 Au 2.85
In2 0.0000 0.0000 0.2248 [3 per cell]  3 Cu 2.71
Cu1 0.0000 0.0000 0.4840 [3 per cell]  3 Au 2.61, 3 In 2.71
Au1 0.0000 0.0000 0.7500 [3 per cell]  3 Cu 2.61, 3 In 2.85

Na3CuS3: optimized geometry, PBE.

Values from the calculation:
density of states at the Fermi level = 0.650 states/eV/atom
uncorrected formation energy = -614 meV per atom
energy = -49.5 eV per cell

abc: 8.3985 8.3985 5.6620
angles: 90.00 90.00 120.00
With the nearest neighbours (Å) after each atom.
Space group P6_3/m (No. 176)
Symmetry-distinct sites (fractional):
Na1 0.0721 0.7094 0.2500 [6 per cell]  5 S 2.83-2.99
Cu1 0.3333 0.6667 0.7500 [2 per cell]  3 S 2.17
S1 0.0903 0.6950 0.7500 [6 per cell]  1 Cu 2.17

Tb2PrSmHo: optimized geometry, PBE.

Values from the calculation:
density of states at the Fermi level = 1.667 states/eV/atom
energy of formation = 0.3824 eV/atom
energy = -85.7 eV per cell

abc: 8.4491 11.6042 7.1915
angles: 90.00 90.00 90.00
With the nearest neighbours (Å) after each atom.
Space group Cmcm (No. 63)
Symmetry-distinct sites (fractional):
Tb1 0.1880 0.0000 0.0000 [8 per cell]  1 Tb 3.18, 2 Sm 3.19, 2 Ho 3.54
Pr1 0.0000 0.2290 0.2500 [4 per cell]  1 Sm 3.11
Sm1 0.0000 0.4967 0.2500 [4 per cell]  1 Pr 3.11, 4 Tb 3.19, 1 Ho 3.24
Ho1 0.0000 0.2241 0.7500 [4 per cell]  1 Sm 3.24, 4 Tb 3.54, 2 Pr 3.60

Ho3LuC: optimized geometry, PBE.

Values from the calculation:
density of states at the Fermi level = 1.200 states/eV/atom
energy of formation = -0.0331 eV/atom
energy = -27.6 eV per cell

abc: 5.0106 5.0106 5.0106
angles: 90.00 90.00 90.00
With the nearest neighbours (Å) after each atom.
Space group Pm-3m (No. 221)
Symmetry-distinct sites (fractional):
Ho1 0.0000 0.0000 0.5000 [3 per cell]  2 C 2.51
Lu1 0.5000 0.5000 0.5000 [1 per cell]  12 Ho 3.54
C1 0.0000 0.0000 0.0000 [1 per cell]  6 Ho 2.51

Pm3Zn2Ga: optimized geometry, PBE.

Values from the calculation:
density of states at the Fermi level = 1.241 states/eV/atom
energy of formation = -0.3934 eV/atom
polymorph energy (0 for the lowest one) = 0.0044 eV/atom
energy = -22.2 eV per cell

abc: 3.6431 3.6431 11.1202
angles: 90.00 90.00 90.00
With the nearest neighbours (Å) after each atom.
Space group P4/mmm (No. 123)
Symmetry-distinct sites (fractional):
Pm1 0.0000 0.0000 0.0000 [1 per cell]  8 Zn 3.15
Pm2 0.0000 0.0000 0.3326 [2 per cell]  4 Ga 3.18, 4 Zn 3.19
Zn1 0.5000 0.5000 0.1630 [2 per cell]  8 Pm 3.15-3.19
Ga1 0.5000 0.5000 0.5000 [1 per cell]  8 Pm 3.18

YInAu3: optimized geometry, PBE.

Values from the calculation:
density of states at the Fermi level = 0.548 states/eV/atom
energy of formation = 0.0730 eV/atom
polymorph energy (0 for the lowest one) = 0.6196 eV/atom
energy = -18.7 eV per cell

abc: 5.1037 5.1037 5.1037
angles: 90.00 90.00 90.00
With the nearest neighbours (Å) after each atom.
Space group Pm-3m (No. 221)
Symmetry-distinct sites (fractional):
Y1 0.0000 0.0000 0.0000 [1 per cell]  12 Au 3.61
In1 0.5000 0.5000 0.5000 [1 per cell]  6 Au 2.55
Au1 0.0000 0.5000 0.5000 [3 per cell]  2 In 2.55

Li5YCd7: optimized geometry, PBE.

Values from the calculation:
density of states at the Fermi level = 0.485 states/eV/atom
energy of formation = -0.2199 eV/atom
energy = -50.6 eV per cell

abc: 5.2534 9.9251 9.9274
angles: 90.00 90.00 90.00
With the nearest neighbours (Å) after each atom.
Space group Imm2 (No. 44)
Symmetry-distinct sites (fractional):
Li1 0.0000 0.0000 0.0000 [2 per cell]  4 Li 2.83, 6 Cd 2.88-3.11
Li2 0.2484 0.2497 0.4711 [8 per cell]  3 Li 2.61-2.83, 3 Cd 2.80-2.90
Y1 0.0000 0.5000 0.7234 [2 per cell]  10 Cd 3.31-3.47, 2 Li 3.44
Cd1 0.0000 0.0000 0.4335 [2 per cell]  4 Li 2.83, 4 Cd 2.96-2.97
Cd2 0.0000 0.1507 0.7256 [4 per cell]  5 Li 2.94-3.11, 4 Cd 2.99-3.26
Cd3 0.0000 0.2032 0.2147 [4 per cell]  5 Li 2.80-2.93, 3 Cd 2.96-3.00
Cd4 0.0000 0.5000 0.0722 [2 per cell]  5 Cd 2.97-3.27, 4 Li 2.98
Cd5 0.0000 0.5000 0.3811 [2 per cell]  6 Li 2.88-2.94, 1 Cd 3.07

HfInAg: optimized geometry, PBE.

Values from the calculation:
density of states at the Fermi level = 1.026 states/eV/atom
energy of formation = 0.1431 eV/atom
energy = -30.2 eV per cell

abc: 4.1193 4.1193 7.5442
angles: 90.00 90.00 90.00
With the nearest neighbours (Å) after each atom.
Space group P4/nmm (No. 129, origin choice 2)
Symmetry-distinct sites (fractional):
Hf1 0.2500 0.2500 0.1320 [2 per cell]  5 Ag 2.74-3.01
In1 0.2500 0.7500 0.5000 [2 per cell]  4 Ag 2.89, 4 In 2.91
Ag1 0.2500 0.2500 0.7692 [2 per cell]  5 Hf 2.74-3.01, 4 In 2.89

Sm2FeRe: optimized geometry, PBE.

Values from the calculation:
density of states at the Fermi level = 1.356 states/eV/atom
energy of formation = 1.0181 eV/atom
energy = -78.8 eV per cell

abc: 3.0309 3.0309 31.9964
angles: 90.00 90.00 120.00
With the nearest neighbours (Å) after each atom.
Space group R-3m (No. 166, hexagonal axes)
Symmetry-distinct sites (fractional):
Sm1 0.0000 0.0000 0.0892 [6 per cell]  1 Re 2.85, 6 Sm 3.03, 3 Fe 3.03
Fe1 0.0000 0.0000 0.5000 [3 per cell]  6 Fe 3.03, 6 Sm 3.03
Re1 0.0000 0.0000 0.0000 [3 per cell]  2 Sm 2.85, 6 Re 3.03